[1]
This record from Alexandria describes a geometry-optimized Co2NiIr structure. The functional is GGA-PBE. Values from VASP.

Quantum ESPRESSO input file:
```
&SYSTEM
  ibrav = 0, nat = 8, ntyp = 3
/
ATOMIC_SPECIES
Co 58.93 Co.upf
Ni 58.69 Ni.upf
Ir 192.22 Ir.upf
CELL_PARAMETERS angstrom
-1.9679 -2.7045 1.3936
2.6950 -2.3367 -0.7292
2.8489 1.2646 6.4770
ATOMIC_POSITIONS angstrom
Co 0.0216 -1.7892 1.2690
Ni 2.0794 -2.6423 2.5191
Co 2.3485 -1.6073 0.1973
Co 3.5544 -1.9875 5.8724
Ir 1.8578 -3.6561 4.9491
Ni 1.4967 -1.1344 4.6223
Ir 1.7182 -0.1206 2.1924
Co 1.2275 -2.1693 6.9441
```

=====

[2]
This record from Alexandria describes a geometry-optimized Co2NiIr structure. The functional is GGA-PBE. Values from VASP.

Quantum ESPRESSO input file:
```
&SYSTEM
  ibrav = 0, nat = 4, ntyp = 3
/
ATOMIC_SPECIES
Ir 192.22 Ir.upf
Co 58.93 Co.upf
Ni 58.69 Ni.upf
CELL_PARAMETERS angstrom
2.5897 0.0000 0.0000
0.0000 3.6078 0.0000
0.0000 0.0000 5.1331
ATOMIC_POSITIONS angstrom
Ir 0.0000 0.0000 2.5541
Co 0.0000 0.0000 0.0029
Co 1.2948 1.8039 1.2455
Ni 1.2948 1.8039 3.8970
```

=====

[3]
This record from Alexandria describes a geometry-optimized Co2NiIr structure. The functional is GGA-PBE. Values from VASP.

Quantum ESPRESSO input file:
```
&SYSTEM
  ibrav = 0, nat = 4, ntyp = 3
/
ATOMIC_SPECIES
Ni 58.69 Ni.upf
Co 58.93 Co.upf
Ir 192.22 Ir.upf
CELL_PARAMETERS angstrom
-7.7269 1.6581 -2.8359
-8.3595 0.5592 -0.5508
-7.7736 3.1037 -0.6592
ATOMIC_POSITIONS angstrom
Ni -17.8950 3.9908 -3.0344
Co -11.8533 2.6434 -2.0099
Ir -5.9650 1.3303 -1.0115
Co -0.0767 0.0171 -0.0130
```

=====

[4]
! GGA-PBE CoNi2Ir, relaxed; values from VASP
! Offset from the most stable computed form: 0.051 eV per atom
&SYSTEM
  ibrav = 0, nat = 4, ntyp = 3
/
ATOMIC_SPECIES
Ni 58.69 Ni.upf
Ir 192.22 Ir.upf
Co 58.93 Co.upf
CELL_PARAMETERS angstrom
-1.1486 1.5462 -1.7441
-2.1299 -1.4859 0.0854
-2.5907 4.0162 5.2668
ATOMIC_POSITIONS angstrom
Ni -0.0316 0.0490 0.0643
Ir -3.5823 3.0423 3.1208
Co -2.2870 1.0342 0.4874
Ni -1.2637 1.9591 2.5691

=====

[5]
This record from Alexandria describes a geometry-optimized Co5Ni2Ir2 structure. The functional is GGA-PBE. Values from VASP.

Quantum ESPRESSO input file:
```
&SYSTEM
  ibrav = 0, nat = 9, ntyp = 3
/
ATOMIC_SPECIES
Co 58.93 Co.upf
Ir 192.22 Ir.upf
Ni 58.69 Ni.upf
CELL_PARAMETERS angstrom
-0.5411 2.4457 0.6143
-6.4954 -1.8213 1.5368
0.4870 -2.7164 5.8435
ATOMIC_POSITIONS angstrom
Co -5.3412 -0.7004 3.5081
Co -3.0276 -1.3608 2.7582
Co -3.5219 -0.7312 5.2364
Ir -2.2801 0.6025 1.0109
Co -1.2083 -1.3916 4.4866
Ni -0.5655 -0.7016 2.3005
Ir -4.2694 -2.6945 6.9837
Ni -5.9840 -1.3904 5.6941
Co 0.0000 0.0000 0.0000
```

=====

[6]
! GGA-PBE CoNi2Ir, relaxed; values from VASP
! Offset from the most stable computed form: 0.003 eV per atom
&SYSTEM
  ibrav = 0, nat = 4, ntyp = 3
/
ATOMIC_SPECIES
Ni 58.69 Ni.upf
Co 58.93 Co.upf
Ir 192.22 Ir.upf
CELL_PARAMETERS angstrom
-3.5863 -1.3470 2.2609
-1.5183 -2.3447 3.4619
-0.2237 3.2027 3.0456
ATOMIC_POSITIONS angstrom
Ni -0.0017 0.0225 0.0216
Co -2.6662 -0.2534 4.3802
Ir -3.9993 -0.3792 6.5713
Ni -1.3260 -0.1239 2.1802

=====

[7]
This record from Alexandria describes a geometry-optimized Co5Ni6Ir structure. The functional is GGA-PBE. Values from VASP.

Quantum ESPRESSO input file:
```
&SYSTEM
  ibrav = 0, nat = 12, ntyp = 3
/
ATOMIC_SPECIES
Ni 58.69 Ni.upf
Co 58.93 Co.upf
Ir 192.22 Ir.upf
CELL_PARAMETERS angstrom
3.4253 0.8621 0.0000
1.6578 7.9101 0.0000
0.8289 3.9550 5.2798
ATOMIC_POSITIONS angstrom
Ni 2.9775 2.6454 1.7764
Ni 3.8241 6.5357 0.0000
Co 2.5415 4.3861 3.4627
Co 1.6578 7.9100 3.5345
Co 0.8289 3.9550 1.7453
Ir 0.0000 0.0000 0.0000
Ni 2.9344 10.0817 3.5034
Ni 2.1055 6.1267 1.7764
Co 2.5415 4.3861 0.0000
Co 3.3704 8.3411 1.8171
Ni 1.2589 2.2364 0.0000
Ni 3.8064 6.6005 3.5034
```

=====

[8]
! GGA-PBE Co3Ni6Ir, relaxed; values from VASP
! Offset from the most stable computed form: 0.000 eV per atom
&SYSTEM
  ibrav = 0, nat = 10, ntyp = 3
/
ATOMIC_SPECIES
Ni 58.69 Ni.upf
Ir 192.22 Ir.upf
Co 58.93 Co.upf
CELL_PARAMETERS angstrom
6.5221 -0.9220 -0.6513
2.2354 4.1521 0.0416
2.2354 1.4268 3.8995
ATOMIC_POSITIONS angstrom
Ni 7.6505 1.1265 0.7958
Ir 5.4964 2.3285 1.6449
Ni 3.3811 0.8074 1.9930
Co 8.6807 4.5542 3.2172
Ni 3.3423 3.5304 2.4940
Ni 7.6118 2.5087 3.1948
Co 0.0000 0.0000 0.0000
Ni 3.3811 2.1483 0.0949
Co 2.3122 0.1028 0.0726
Ni 7.6118 3.8495 1.2967

=====

[9]
This record from Alexandria describes a geometry-optimized Co4Ni8Ir structure. The functional is GGA-PBE. Values from VASP.

Quantum ESPRESSO input file:
```
&SYSTEM
  ibrav = 0, nat = 13, ntyp = 3
/
ATOMIC_SPECIES
Co 58.93 Co.upf
Ni 58.69 Ni.upf
Ir 192.22 Ir.upf
CELL_PARAMETERS angstrom
5.3642 -0.8099 0.9467
0.6473 5.3862 0.9467
-1.0639 -0.8099 5.3422
ATOMIC_POSITIONS angstrom
Co 2.1501 -0.8099 3.1444
Ni 3.9952 0.4665 2.2130
Ni 4.3348 3.2999 2.7097
Ni 0.6128 0.4665 4.5258
Co 3.0058 2.2881 0.9467
Co 0.0000 0.0000 0.0000
Co -0.2083 2.2881 3.1444
Ni 3.7753 2.8739 5.5211
Ni 1.1723 0.8924 1.7144
Ni 0.9524 3.2999 5.0225
Ni 1.5132 3.7268 2.2130
Ir 2.4738 1.8832 3.6178
Ni 3.4343 0.0395 5.0225
```

=====

[10]
This record from Alexandria describes a geometry-optimized Co2NiIr structure. The functional is GGA-PBE. Values from VASP.

Quantum ESPRESSO input file:
```
&SYSTEM
  ibrav = 0, nat = 4, ntyp = 3
/
ATOMIC_SPECIES
Ni 58.69 Ni.upf
Co 58.93 Co.upf
Ir 192.22 Ir.upf
CELL_PARAMETERS angstrom
2.9625 0.0000 0.0000
0.0000 2.9625 0.0000
0.0000 0.0000 5.5011
ATOMIC_POSITIONS angstrom
Ni 1.4813 1.4813 4.2587
Co 1.4813 1.4813 1.2331
Co 0.0000 0.0000 5.4955
Ir 0.0000 0.0000 2.7653
```

=====

[11]
This record from Alexandria describes a geometry-optimized Co3Ni2Ir3 structure. The functional is GGA-PBE. Values from VASP.

Quantum ESPRESSO input file:
```
&SYSTEM
  ibrav = 0, nat = 8, ntyp = 3
/
ATOMIC_SPECIES
Co 58.93 Co.upf
Ni 58.69 Ni.upf
Ir 192.22 Ir.upf
CELL_PARAMETERS angstrom
2.6016 0.0000 -0.4190
-0.2710 4.1051 -1.6825
0.2415 -1.3616 9.7859
ATOMIC_POSITIONS angstrom
Co 1.0500 0.5207 6.5197
Co 1.3008 0.0000 -0.2095
Ni 2.0067 0.3203 4.1732
Ni 0.5655 2.4233 3.5112
Ir -0.1355 2.0526 -0.8412
Co 1.5221 2.2229 1.1647
Ir 0.3552 0.1963 2.2053
Ir 2.2170 2.5472 5.4791
```

=====

[12]
This record from Alexandria describes a geometry-optimized CoNi4Ir2 structure. The functional is GGA-PBE. Values from VASP.

Quantum ESPRESSO input file:
```
&SYSTEM
  ibrav = 0, nat = 7, ntyp = 3
/
ATOMIC_SPECIES
Ni 58.69 Ni.upf
Co 58.93 Co.upf
Ir 192.22 Ir.upf
CELL_PARAMETERS angstrom
-0.2598 -3.5274 -0.8606
3.5354 -1.6113 -2.1613
1.6031 -1.4244 5.3546
ATOMIC_POSITIONS angstrom
Ni 1.5042 -2.7564 3.1455
Ni 3.3979 -2.4637 1.3741
Co 0.0000 0.0000 0.0000
Ir 3.2032 -4.6535 2.7097
Ni 1.4808 -4.0994 0.9586
Ni 3.3745 -3.8068 -0.8127
Ir 1.6755 -1.9097 -0.3770
```

=====

[13]
This record from Alexandria describes a geometry-optimized Co2Ni5Ir4 structure. The functional is GGA-PBE. Values from VASP.

Quantum ESPRESSO input file:
```
&SYSTEM
  ibrav = 0, nat = 11, ntyp = 3
/
ATOMIC_SPECIES
Ni 58.69 Ni.upf
Co 58.93 Co.upf
Ir 192.22 Ir.upf
CELL_PARAMETERS angstrom
2.5813 0.2638 0.2720
-0.6779 9.6321 -2.8812
2.1527 -1.7220 6.2600
ATOMIC_POSITIONS angstrom
Ni 3.0826 7.3457 1.1881
Co 3.2303 2.0725 4.8759
Ni 1.0020 2.5057 0.6021
Ni 2.7655 8.0420 3.5148
Ni 0.9736 0.8282 2.4626
Ni 3.0542 5.6683 3.0487
Ir 2.0025 3.2228 2.9025
Co 0.8259 6.1015 -1.2251
Ir 2.0537 4.9511 0.7483
Ir 1.8742 8.4403 -0.9267
Ir 2.1820 -0.2664 4.5775
```

=====

no.,total energy (eV for the cell shown),formation energy from the elements (eV/atom)
1,-57.427,0.0352
2,-28.660,0.0485
3,-28.495,0.0897
4,-27.225,0.0762
5,-63.797,0.1130
6,-27.416,0.0283
7,-78.879,0.0166
8,-63.238,0.1629
9,-78.616,0.3784
10,-28.308,0.1365
11,-59.096,0.0459
12,-47.803,0.0215
13,-77.774,0.0717